No. 1
Density functional theory data (PBE-GGA) for an optimized crystal structure of La3Pm8Tm2.

VASP energy: -4.6029 eV per atom
spin magnetization: 0.00 μB per formula unit
V: 453.7 Å³/cell

Unit cell a=6.2264 b=8.9277 c=8.9277 alpha=83.12 beta=73.04 gamma=73.04
Atoms (fractional coordinates):
1 Pm 0.3231 0.4318 0.9196
2 Pm 0.6769 0.5682 0.0804
3 Pm 0.9533 0.1605 0.1605
4 Pm 0.7876 0.4429 0.4429
5 Pm 0.2124 0.5571 0.5571
6 Pm 0.6769 0.0804 0.5682
7 Pm 0.0467 0.8395 0.8395
8 Pm 0.3231 0.9196 0.4318
9 La 0.5000 0.0000 0.0000
10 La 0.0000 0.2379 0.7621
11 La 0.0000 0.7621 0.2379
12 Tm 0.3635 0.2904 0.2904
13 Tm 0.6365 0.7096 0.7096



No. 2
Density functional theory data (PBE-GGA) for an optimized crystal structure of La3Pm2Tm.

VASP energy: -4.7733 eV per atom
spin magnetization: 0.00 μB per formula unit
V: 419.1 Å³/cell

Unit cell a=3.6753 b=10.3679 c=10.9989 alpha=89.64 beta=90.00 gamma=90.00
Atoms (fractional coordinates):
1 Pm 0.2500 0.8801 0.0835
2 Pm 0.7500 0.1199 0.9165
3 Pm 0.2500 0.3711 0.4155
4 Pm 0.7500 0.6289 0.5845
5 Tm 0.2500 0.8764 0.7501
6 Tm 0.7500 0.1236 0.2499
7 La 0.7500 0.6295 0.9141
8 La 0.2500 0.3705 0.0859
9 La 0.2500 0.3756 0.7499
10 La 0.7500 0.1219 0.5841
11 La 0.7500 0.6244 0.2501
12 La 0.2500 0.8781 0.4159



No. 3
Density functional theory data (PBE-GGA) for an optimized crystal structure of La4Pm4Tm3.

VASP energy: -4.6773 eV per atom
spin magnetization: 0.00 μB per formula unit
V: 375.2 Å³/cell

Unit cell a=3.5753 b=5.7761 c=18.4662 alpha=81.37 beta=84.46 gamma=90.00
Atoms (fractional coordinates):
1 La 0.6782 0.1809 0.6430
2 La 0.5480 0.5632 0.9038
3 La 0.3218 0.8192 0.3569
4 La 0.4520 0.4368 0.0962
5 Pm 0.2674 0.2668 0.4650
6 Pm 0.7326 0.7332 0.5350
7 Pm 0.5891 0.0996 0.8212
8 Pm 0.4110 0.9004 0.1787
9 Tm 0.8640 0.3587 0.2724
10 Tm 0.0000 0.0000 0.0000
11 Tm 0.1360 0.6414 0.7276



No. 4
Density functional theory data (PBE-GGA) for an optimized crystal structure of LaPm14Tm.

VASP energy: -4.7304 eV per atom
spin magnetization: 0.00 μB per formula unit
V: 548.8 Å³/cell

Unit cell a=7.2976 b=7.2976 c=10.3055 alpha=90.00 beta=90.00 gamma=90.00
Atoms (fractional coordinates):
1 Pm 0.8753 0.6253 0.5000
2 Pm 0.8747 0.1253 0.5000
3 Pm 0.8747 0.6246 0.0000
4 Pm 0.1269 0.3770 0.7507
5 Pm 0.6232 0.3768 0.7505
6 Pm 0.3747 0.1247 0.5000
7 Pm 0.1268 0.8732 0.7507
8 Pm 0.3754 0.1253 0.0000
9 Pm 0.6230 0.8731 0.2493
10 Pm 0.1268 0.8732 0.2493
11 Pm 0.6230 0.8731 0.7507
12 Pm 0.6232 0.3768 0.2495
13 Pm 0.1269 0.3770 0.2493
14 Pm 0.3752 0.6248 0.5000
15 La 0.8753 0.1247 0.0000
16 Tm 0.3748 0.6252 0.0000



No. 5
Density functional theory data (PBE-GGA) for an optimized crystal structure of La5Pm2Tm.

VASP energy: -4.7100 eV per atom
spin magnetization: 0.00 μB per formula unit
V: 581.0 Å³/cell

Unit cell a=5.8207 b=9.0308 c=11.6764 alpha=90.00 beta=90.00 gamma=108.80
Atoms (fractional coordinates):
1 Tm 0.2297 0.4593 0.2500
2 Tm 0.7703 0.5407 0.7500
3 Pm 0.7852 0.5704 0.0846
4 Pm 0.2148 0.4296 0.9154
5 Pm 0.7852 0.5704 0.4154
6 Pm 0.2148 0.4296 0.5846
7 La 0.6106 0.2212 0.2500
8 La 0.4121 0.8241 0.4128
9 La 0.5879 0.1759 0.9128
10 La 0.3894 0.7788 0.7500
11 La 0.5879 0.1759 0.5872
12 La 0.0473 0.0946 0.3850
13 La 0.9527 0.9054 0.6150
14 La 0.9527 0.9054 0.8850
15 La 0.4121 0.8241 0.0872
16 La 0.0473 0.0946 0.1150



No. 6
Density functional theory data (PBE-GGA) for an optimized crystal structure of LaPm4Tm8.

VASP energy: -4.0627 eV per atom
spin magnetization: 2.43 μB per formula unit
V: 472.0 Å³/cell

Unit cell a=7.7858 b=7.7858 c=7.7858 alpha=90.07 beta=90.07 gamma=90.07
Atoms (fractional coordinates):
1 Tm 0.2388 0.2388 0.2388
2 Tm 0.7606 0.2385 0.2385
3 Tm 0.7615 0.7615 0.2394
4 Tm 0.2385 0.7606 0.2385
5 Tm 0.2385 0.2385 0.7606
6 Tm 0.7615 0.2394 0.7615
7 Tm 0.7612 0.7612 0.7612
8 Tm 0.2394 0.7615 0.7615
9 Pm 0.0000 0.0000 0.0000
10 Pm 0.5000 0.0000 0.5000
11 Pm 0.5000 0.5000 0.0000
12 Pm 0.0000 0.5000 0.5000
13 La 0.5000 0.5000 0.5000



No. 7
Density functional theory data (PBE-GGA) for an optimized crystal structure of La2Pm3Tm3.

VASP energy: -4.5741 eV per atom
spin magnetization: 0.00 μB per formula unit
V: 546.1 Å³/cell

Unit cell a=3.6235 b=9.0760 c=16.9448 alpha=90.00 beta=90.00 gamma=101.51
Atoms (fractional coordinates):
1 Pm 0.3581 0.7161 0.4830
2 Pm 0.6419 0.2839 0.5170
3 Pm 0.3581 0.7161 0.0170
4 Pm 0.3910 0.7819 0.2500
5 Pm 0.6090 0.2181 0.7500
6 Pm 0.6419 0.2839 0.9830
7 Tm 0.0075 0.0150 0.1005
8 Tm 0.9925 0.9850 0.8995
9 Tm 0.5763 0.1525 0.2500
10 Tm 0.9925 0.9850 0.6005
11 Tm 0.0075 0.0150 0.3995
12 Tm 0.4237 0.8475 0.7500
13 La 0.7843 0.5686 0.8503
14 La 0.2157 0.4314 0.1497
15 La 0.7843 0.5686 0.6497
16 La 0.2157 0.4314 0.3503



No. 8
Density functional theory data (PBE-GGA) for an optimized crystal structure of La5Pm2Tm4.

VASP energy: -4.5729 eV per atom
spin magnetization: 0.00 μB per formula unit
V: 391.2 Å³/cell

Unit cell a=3.5634 b=9.2704 c=12.8413 alpha=111.16 beta=97.98 gamma=90.00
Atoms (fractional coordinates):
1 La 0.8556 0.6546 0.7113
2 La 0.1444 0.3454 0.2887
3 La 0.5000 0.0000 0.0000
4 La 0.1444 0.9433 0.2887
5 La 0.8556 0.0567 0.7113
6 Tm 0.4043 0.4043 0.8086
7 Tm 0.5957 0.5957 0.1914
8 Tm 0.0000 0.6805 0.0000
9 Tm 0.0000 0.3195 0.0000
10 Pm 0.7317 0.7317 0.4635
11 Pm 0.2683 0.2683 0.5365



No. 9
Density functional theory data (PBE-GGA) for an optimized crystal structure of La5PmTm6.

VASP energy: -4.6589 eV per atom
spin magnetization: 0.00 μB per formula unit
V: 398.6 Å³/cell

Unit cell a=5.2115 b=9.7930 c=9.5819 alpha=120.73 beta=105.83 gamma=90.00
Atoms (fractional coordinates):
1 Tm 0.8339 0.0835 0.6680
2 Tm 0.5000 0.7507 0.0000
3 Tm 0.1661 0.9165 0.3320
4 Tm 0.1661 0.4155 0.3321
5 Tm 0.8339 0.5845 0.6679
6 Tm 0.5000 0.2493 0.0000
7 La 0.3328 0.3328 0.6656
8 La 0.6672 0.6672 0.3344
9 La 0.3348 0.8346 0.6691
10 La 0.0000 0.5000 0.0000
11 La 0.6652 0.1654 0.3309
12 Pm 0.0000 0.0000 0.0000



No. 10
Density functional theory data (PBE-GGA) for an optimized crystal structure of La2Pm4Tm3.

VASP energy: -4.6308 eV per atom
spin magnetization: 0.00 μB per formula unit
V: 301.2 Å³/cell

Unit cell a=5.7296 b=6.7297 c=10.5337 alpha=121.24 beta=90.00 gamma=115.20
Atoms (fractional coordinates):
1 Tm 0.6644 0.3287 0.6640
2 Tm 0.3356 0.6713 0.3360
3 Tm 0.0000 0.0000 0.0000
4 La 0.3840 0.7680 0.7319
5 La 0.6160 0.2320 0.2681
6 Pm 0.9480 0.8960 0.6101
7 Pm 0.7278 0.4556 0.0444
8 Pm 0.0520 0.1040 0.3899
9 Pm 0.2722 0.5444 0.9556



No. 11
Density functional theory data (PBE-GGA) for an optimized crystal structure of La6PmTm8.

VASP energy: -4.5528 eV per atom
spin magnetization: 0.00 μB per formula unit
V: 501.6 Å³/cell

Unit cell a=8.8152 b=8.8152 c=8.8152 alpha=61.58 beta=61.58 gamma=61.58
Atoms (fractional coordinates):
1 La 0.9095 0.4664 0.7664
2 La 0.4664 0.7664 0.9095
3 La 0.0905 0.5336 0.2336
4 La 0.2336 0.0905 0.5336
5 La 0.5336 0.2336 0.0905
6 La 0.7664 0.9095 0.4664
7 Tm 0.1144 0.7003 0.7677
8 Tm 0.8856 0.2997 0.2323
9 Tm 0.5765 0.5765 0.5765
10 Tm 0.2323 0.8856 0.2997
11 Tm 0.2997 0.2323 0.8856
12 Tm 0.7003 0.7677 0.1144
13 Tm 0.4235 0.4235 0.4235
14 Tm 0.7677 0.1144 0.7003
15 Pm 0.0000 0.0000 0.0000



No. 12
Density functional theory data (PBE-GGA) for an optimized crystal structure of LaPm2Tm9.

VASP energy: -4.4342 eV per atom
spin magnetization: 0.00 μB per formula unit
V: 379.3 Å³/cell

Unit cell a=5.7778 b=5.7778 c=11.3608 alpha=90.00 beta=90.00 gamma=90.00
Atoms (fractional coordinates):
1 Tm 0.0000 0.5000 0.8294
2 Tm 0.5000 0.5000 0.6658
3 Tm 0.0000 0.5000 0.1706
4 Tm 0.5000 0.0000 0.1706
5 Tm 0.0000 0.5000 0.5000
6 Tm 0.5000 0.5000 0.3342
7 Tm 0.5000 0.5000 0.0000
8 Tm 0.5000 0.0000 0.8294
9 Tm 0.5000 0.0000 0.5000
10 Pm 0.0000 0.0000 0.3360
11 Pm 0.0000 0.0000 0.6640
12 La 0.0000 0.0000 0.0000



No. 13
Density functional theory data (PBE-GGA) for an optimized crystal structure of LaPm3Tm3.

VASP energy: -4.4648 eV per atom
spin magnetization: 0.00 μB per formula unit
V: 483.4 Å³/cell

Unit cell a=8.9336 b=8.9336 c=8.9336 alpha=58.20 beta=58.20 gamma=58.20
Atoms (fractional coordinates):
1 Tm 0.8299 0.0640 0.2821
2 Tm 0.7179 0.1701 0.9360
3 Tm 0.0640 0.2821 0.8299
4 Tm 0.9360 0.7179 0.1701
5 Tm 0.2821 0.8299 0.0640
6 Tm 0.1701 0.9360 0.7179
7 Pm 0.2780 0.4318 0.9298
8 Pm 0.9298 0.2780 0.4318
9 Pm 0.4318 0.9298 0.2780
10 Pm 0.7220 0.5682 0.0702
11 Pm 0.5682 0.0702 0.7220
12 Pm 0.0702 0.7220 0.5682
13 La 0.3457 0.3457 0.3457
14 La 0.6543 0.6543 0.6543



No. 14
Density functional theory data (PBE-GGA) for an optimized crystal structure of La2Pm7Tm3.

VASP energy: -4.6426 eV per atom
spin magnetization: 0.00 μB per formula unit
V: 406.7 Å³/cell

Unit cell a=3.5731 b=6.4666 c=18.2057 alpha=75.20 beta=90.00 gamma=90.00
Atoms (fractional coordinates):
1 La 0.5000 0.3893 0.6702
2 La 0.5000 0.6107 0.3298
3 Pm 0.0000 0.0000 0.0000
4 Pm 0.5000 0.7626 0.4961
5 Pm 0.5000 0.2374 0.5039
6 Pm 0.0000 0.5584 0.1627
7 Pm 0.5000 0.0613 0.1688
8 Pm 0.5000 0.9387 0.8312
9 Pm 0.0000 0.4416 0.8373
10 Tm 0.0000 0.1124 0.3420
11 Tm 0.0000 0.8876 0.6580
12 Tm 0.5000 0.5000 0.0000



No. 15
Density functional theory data (PBE-GGA) for an optimized crystal structure of La16Pm6Tm7.

VASP energy: -4.5981 eV per atom
spin magnetization: 2.60 μB per formula unit
V: 1035.7 Å³/cell

Unit cell a=11.3566 b=11.3566 c=11.3566 alpha=60.00 beta=60.00 gamma=60.00
Atoms (fractional coordinates):
1 La 0.3458 0.9627 0.3458
2 La 0.6542 0.6542 0.0373
3 La 0.1203 0.1203 0.1203
4 La 0.8797 0.8797 0.8797
5 La 0.3458 0.3458 0.9627
6 La 0.6542 0.0373 0.6542
7 La 0.0373 0.6542 0.6542
8 La 0.6391 0.1203 0.1203
9 La 0.1203 0.1203 0.6391
10 La 0.3458 0.3458 0.3458
11 La 0.6542 0.6542 0.6542
12 La 0.8797 0.8797 0.3609
13 La 0.3609 0.8797 0.8797
14 La 0.8797 0.3609 0.8797
15 La 0.1203 0.6391 0.1203
16 La 0.9627 0.3458 0.3458
17 Pm 0.7005 0.7005 0.2995
18 Pm 0.2995 0.7005 0.7005
19 Pm 0.7005 0.2995 0.2995
20 Pm 0.7005 0.2995 0.7005
21 Pm 0.2995 0.2995 0.7005
22 Pm 0.2995 0.7005 0.2995
23 Tm 0.5000 0.0000 0.0000
24 Tm 0.0000 0.5000 0.0000
25 Tm 0.0000 0.0000 0.0000
26 Tm 0.0000 0.0000 0.5000
27 Tm 0.0000 0.5000 0.5000
28 Tm 0.5000 0.5000 0.0000
29 Tm 0.5000 0.0000 0.5000



No. 16
Density functional theory data (PBE-GGA) for an optimized crystal structure of La3Pm8Tm.

VASP energy: -4.2372 eV per atom
spin magnetization: 0.00 μB per formula unit
V: 456.4 Å³/cell

Unit cell a=8.5343 b=8.5343 c=8.5343 alpha=94.94 beta=117.19 gamma=117.19
Atoms (fractional coordinates):
1 Pm 0.0000 0.2547 0.7607
2 Pm 0.0000 0.7607 0.2547
3 Pm 0.7555 0.1255 0.1255
4 Pm 0.4939 0.2393 0.2393
5 Pm 0.5061 0.7453 0.7453
6 Pm 0.0000 0.6300 0.8745
7 Pm 0.2445 0.3700 0.3700
8 Pm 0.0000 0.8745 0.6300
9 Tm 0.0000 0.0000 0.0000
10 La 0.0000 0.5000 0.5000
11 La 0.5000 0.7500 0.2500
12 La 0.5000 0.2500 0.7500



No. 17
Density functional theory data (PBE-GGA) for an optimized crystal structure of La2Pm7Tm.

VASP energy: -4.6139 eV per atom
spin magnetization: 0.00 μB per formula unit
V: 349.1 Å³/cell

Unit cell a=3.5069 b=15.1107 c=15.1108 alpha=154.15 beta=90.00 gamma=90.00
Atoms (fractional coordinates):
1 Pm 0.5000 0.1456 0.3399
2 Pm 0.5000 0.6601 0.8544
3 Pm 0.5000 0.3399 0.1456
4 Pm 0.5000 0.5000 0.5000
5 Pm 0.0000 0.1869 0.8131
6 Pm 0.0000 0.8131 0.1869
7 Pm 0.5000 0.8544 0.6601
8 La 0.5000 0.7040 0.2960
9 La 0.5000 0.2960 0.7040
10 Tm 0.0000 0.0000 0.0000



No. 18
Density functional theory data (PBE-GGA) for an optimized crystal structure of La4PmTm4.

VASP energy: -3.9994 eV per atom
spin magnetization: 0.00 μB per formula unit
V: 366.0 Å³/cell

Unit cell a=6.0678 b=6.0678 c=10.8282 alpha=106.27 beta=106.27 gamma=90.00
Atoms (fractional coordinates):
1 Pm 0.0000 0.0000 0.0000
2 La 0.5000 0.0000 0.0000
3 La 0.0000 0.5000 0.0000
4 La 0.8584 0.8584 0.7168
5 La 0.1416 0.1416 0.2832
6 Tm 0.5266 0.8885 0.4151
7 Tm 0.8885 0.5266 0.4151
8 Tm 0.1115 0.1115 0.5849
9 Tm 0.4734 0.4734 0.5849



No. 19
Density functional theory data (PBE-GGA) for an optimized crystal structure of La2Pm4Tm3.

VASP energy: -4.6442 eV per atom
spin magnetization: 0.00 μB per formula unit
V: 306.6 Å³/cell

Unit cell a=3.6242 b=3.6242 c=26.9543 alpha=90.00 beta=90.00 gamma=120.00
Atoms (fractional coordinates):
1 Tm 0.0000 0.0000 0.9820
2 Tm 0.6667 0.3333 0.6510
3 Tm 0.0000 0.0000 0.3263
4 Pm 0.6667 0.3333 0.4325
5 Pm 0.0000 0.0000 0.5449
6 Pm 0.0000 0.0000 0.7560
7 Pm 0.6667 0.3333 0.2230
8 La 0.6667 0.3333 0.0882
9 La 0.6667 0.3333 0.8733



| no. | calculated formation energy (eV per atom) |
| --- | --- |
| 1 | 0.15 |
| 2 | 0.02 |
| 3 | 0.06 |
| 4 | 0.01 |
| 5 | 0.12 |
| 6 | 0.53 |
| 7 | 0.12 |
| 8 | 0.16 |
| 9 | 0.03 |
| 10 | 0.07 |
| 11 | 0.12 |
| 12 | 0.12 |
| 13 | 0.19 |
| 14 | 0.07 |
| 15 | 0.18 |
| 16 | 0.53 |
| 17 | 0.14 |
| 18 | 0.71 |
| 19 | 0.05 |